{
  "formula": "PaAl2RuO8",
  "functional": "GGA-PBE",
  "state": "optimized geometry",
  "lattice_angstrom": [[3.281, -3.320, 0.000], [3.281, 3.320, 0.000], [0.000, 0.000, 6.131]],
  "species": ["Pa", "Al", "Al", "Ru", "O", "O", "O", "O", "O", "O", "O", "O"],
  "fractional_positions": [[0.000, 0.000, 0.000], [0.500, 0.500, 0.256], [0.500, 0.500, 0.744], [0.000, 0.000, 0.500], [0.218, 0.782, 0.272], [0.218, 0.782, 0.728], [0.295, 0.295, 0.500], [0.321, 0.321, 0.000], [0.679, 0.679, 0.000], [0.705, 0.705, 0.500], [0.782, 0.218, 0.272], [0.782, 0.218, 0.728]],
  "e_tot_ev_per_cell": -95.15,
  "raw_formation_energy_ev_per_atom": -2.4358,
  "m_tot_mub_per_cell": 1.0
}

=====

{
  "formula": "PaAlRuO6",
  "functional": "GGA-PBE",
  "state": "optimized geometry",
  "lattice_angstrom": [[4.764, 0.000, 0.000], [0.000, 4.764, 0.000], [0.000, 0.000, 9.408]],
  "species": ["Pa", "Pa", "Al", "Al", "Ru", "Ru", "O", "O", "O", "O", "O", "O", "O", "O", "O", "O", "O", "O"],
  "fractional_positions": [[0.000, 0.000, 0.000], [0.500, 0.500, 0.500], [0.000, 0.000, 0.661], [0.500, 0.500, 0.161], [0.000, 0.000, 0.327], [0.500, 0.500, 0.827], [0.178, 0.178, 0.502], [0.204, 0.204, 0.815], [0.215, 0.215, 0.170], [0.285, 0.715, 0.670], [0.296, 0.704, 0.315], [0.322, 0.678, 0.002], [0.678, 0.322, 0.002], [0.704, 0.296, 0.315], [0.715, 0.285, 0.670], [0.785, 0.785, 0.170], [0.796, 0.796, 0.815], [0.822, 0.822, 0.502]],
  "e_tot_ev_per_cell": -148.28,
  "raw_formation_energy_ev_per_atom": -2.4307,
  "m_tot_mub_per_cell": 4.0
}